{
  "formula": "Li4Ti3Mn3Ni2O16",
  "functional": "GGA-PBEsol",
  "state": "optimized geometry",
  "sg": "Cm",
  "n_ef_per_ev_cell": 0.6,
  "e_form_raw_ev_per_atom": -2.0589,
  "lattice_angstrom": [[-0.480, 1.807, -5.423], [-1.052, -3.792, -4.174], [-9.311, 1.211, 1.165]],
  "species": ["O", "O", "O", "O", "O", "O", "O", "O", "O", "O", "O", "O", "O", "O", "O", "O", "Li", "Li", "Li", "Li", "Ni", "Ni", "Mn", "Mn", "Mn", "Ti", "Ti", "Ti"],
  "frac_coords": [[0.161, 0.161, 0.898], [0.526, 0.965, 0.664], [0.519, 0.519, 0.666], [0.834, 0.321, 0.395], [0.483, 0.483, 0.169], [0.835, 0.835, 0.389], [0.997, 0.997, 0.686], [0.321, 0.834, 0.395], [0.674, 0.156, 0.893], [0.338, 0.338, 0.395], [0.997, 0.997, 0.189], [0.965, 0.526, 0.664], [0.156, 0.674, 0.893], [0.039, 0.488, 0.166], [0.488, 0.039, 0.166], [0.669, 0.669, 0.899], [0.990, 0.990, 0.501], [0.671, 0.671, 0.110], [0.338, 0.338, 0.606], [0.990, 0.990, 0.003], [0.667, 0.667, 0.511], [0.334, 0.334, 0.014], [0.663, 0.169, 0.285], [0.169, 0.663, 0.285], [0.831, 0.831, 0.785], [0.834, 0.339, 0.786], [0.339, 0.834, 0.786], [0.171, 0.171, 0.289]]
}

=====

{
  "formula": "Li2Ti2MnNiO8",
  "functional": "GGA-PBEsol",
  "state": "optimized geometry",
  "sg": "C2/m",
  "n_ef_per_ev_cell": 0.5,
  "e_form_raw_ev_per_atom": -2.2333,
  "lattice_angstrom": [[5.802, -0.025, 0.004], [2.833, 5.063, 0.004], [2.886, 1.684, 4.760]],
  "species": ["Ti", "Ti", "O", "O", "O", "O", "O", "O", "O", "O", "Ni", "Li", "Li", "Mn"],
  "frac_coords": [[0.500, 0.000, 0.000], [0.000, 0.500, 0.000], [0.288, 0.735, 0.224], [0.749, 0.749, 0.218], [0.712, 0.265, 0.776], [0.251, 0.251, 0.782], [0.737, 0.737, 0.782], [0.735, 0.288, 0.224], [0.263, 0.263, 0.218], [0.265, 0.712, 0.776], [0.500, 0.500, 0.500], [0.124, 0.124, 0.635], [0.876, 0.876, 0.365], [0.500, 0.500, 0.000]]
}

=====

{
  "formula": "Li2MnV4NiO12",
  "functional": "GGA-PBEsol",
  "state": "optimized geometry",
  "sg": "C2",
  "n_ef_per_ev_cell": 3.8,
  "e_form_raw_ev_per_atom": -2.0756,
  "lattice_angstrom": [[5.738, 0.003, 0.003], [1.879, 6.373, 0.197], [1.879, 0.495, 6.356]],
  "species": ["O", "O", "O", "O", "O", "O", "O", "O", "O", "O", "O", "O", "Li", "Li", "V", "V", "V", "V", "Ni", "Mn"],
  "frac_coords": [[0.410, 0.793, 0.992], [0.842, 0.608, 0.686], [0.980, 0.630, 0.081], [0.158, 0.314, 0.392], [0.467, 0.090, 0.636], [0.906, 0.991, 0.792], [0.020, 0.919, 0.370], [0.533, 0.364, 0.910], [0.340, 0.682, 0.606], [0.590, 0.008, 0.207], [0.094, 0.208, 0.009], [0.660, 0.394, 0.318], [0.500, 0.727, 0.273], [0.000, 0.276, 0.724], [0.518, 0.614, 0.806], [0.482, 0.194, 0.386], [0.019, 0.803, 0.617], [0.981, 0.383, 0.197], [0.500, 0.081, 0.919], [0.000, 0.921, 0.079]]
}

=====

{
  "formula": "Li2MnNiSb",
  "functional": "GGA-PBEsol",
  "state": "optimized geometry",
  "sg": "P4/mmm",
  "n_ef_per_ev_cell": 2.6,
  "e_form_raw_ev_per_atom": 0.3132,
  "lattice_angstrom": [[4.373, 0.000, 0.000], [0.000, 4.373, 0.000], [0.000, 0.000, 4.638]],
  "species": ["Ni", "Li", "Li", "Mn", "Sb"],
  "frac_coords": [[0.000, 0.000, 0.000], [0.500, 0.000, 0.000], [0.000, 0.500, 0.000], [0.500, 0.500, 0.500], [0.000, 0.000, 0.500]]
}

=====

{
  "formula": "LiMn4O8",
  "functional": "GGA-PBEsol",
  "state": "optimized geometry",
  "sg": "F-43m",
  "n_ef_per_ev_cell": 3.0,
  "e_form_raw_ev_per_atom": -1.7493,
  "de_polymorph_mev_per_atom": 0.0,
  "lattice_angstrom": [[5.678, 0.000, 0.000], [-2.839, 4.919, -0.110], [0.000, -3.171, 4.711]],
  "species": ["Mn", "Mn", "Mn", "Mn", "O", "O", "O", "O", "O", "O", "O", "O", "Li"],
  "frac_coords": [[0.002, 0.004, 0.003], [0.002, 0.004, 0.499], [0.497, 0.499, 0.499], [0.002, 0.499, 0.499], [0.237, 0.029, 0.264], [0.763, 0.975, 0.737], [0.792, 0.029, 0.264], [0.237, 0.473, 0.264], [0.764, 0.528, 0.289], [0.212, 0.975, 0.737], [0.764, 0.528, 0.737], [0.237, 0.473, 0.708], [0.626, 0.252, 0.875]]
}

=====

{
  "formula": "Li5Mn3O8",
  "functional": "GGA-PBEsol",
  "state": "optimized geometry",
  "sg": "P2/m",
  "n_ef_per_ev_cell": 2.8,
  "e_form_raw_ev_per_atom": -1.9576,
  "de_polymorph_mev_per_atom": 0.0,
  "lattice_angstrom": [[4.875, -0.022, 0.052], [-1.601, 4.717, 0.053], [-0.062, -0.087, 5.629]],
  "species": ["Li", "Li", "Li", "Li", "Li", "O", "O", "O", "O", "O", "O", "O", "O", "Mn", "Mn", "Mn"],
  "frac_coords": [[0.000, 0.500, 0.250], [0.500, 0.500, 0.487], [0.500, 0.500, 0.013], [0.000, 0.500, 0.750], [0.500, 0.000, 0.250], [0.245, 0.222, 0.750], [0.751, 0.224, 0.514], [0.249, 0.775, 0.514], [0.224, 0.233, 0.250], [0.249, 0.776, 0.986], [0.755, 0.778, 0.750], [0.751, 0.225, 0.986], [0.776, 0.767, 0.250], [0.000, 0.000, 0.007], [0.500, 0.000, 0.750], [0.000, 0.000, 0.493]]
}

=====

{
  "formula": "Li5MnO5",
  "functional": "GGA-PBEsol",
  "state": "optimized geometry",
  "sg": "C2/m",
  "n_ef_per_ev_cell": 6.1,
  "e_form_raw_ev_per_atom": -1.8049,
  "lattice_angstrom": [[3.839, 0.000, 0.000], [-1.920, 4.611, 0.024], [0.000, -1.784, 5.263]],
  "species": ["Li", "Li", "Li", "Li", "Li", "Mn", "O", "O", "O", "O", "O"],
  "frac_coords": [[0.301, 0.603, 0.670], [0.699, 0.397, 0.330], [0.683, 0.366, 0.863], [0.000, 0.000, 0.500], [0.317, 0.634, 0.137], [0.000, 0.000, 0.000], [0.143, 0.286, 0.831], [0.153, 0.306, 0.311], [0.847, 0.694, 0.689], [0.857, 0.714, 0.169], [0.500, 0.000, 0.000]]
}

=====

{
  "formula": "LiMn3O4",
  "functional": "GGA-PBEsol",
  "state": "optimized geometry",
  "sg": "P-1",
  "n_ef_per_ev_cell": 6.2,
  "e_form_raw_ev_per_atom": -1.4675,
  "lattice_angstrom": [[5.093, -0.009, -0.076], [1.569, 5.538, 0.008], [1.352, 2.545, 5.321]],
  "species": ["Mn", "Mn", "Mn", "Mn", "Mn", "Mn", "O", "O", "O", "O", "O", "O", "O", "O", "Li", "Li"],
  "frac_coords": [[0.000, 0.250, 0.250], [0.500, 0.000, 0.500], [0.000, 0.750, 0.750], [0.500, 0.000, 0.000], [0.500, 0.500, 0.000], [0.500, 0.500, 0.500], [0.256, 0.352, 0.400], [0.256, 0.852, 0.900], [0.254, 0.369, 0.891], [0.746, 0.631, 0.109], [0.254, 0.869, 0.391], [0.744, 0.648, 0.600], [0.746, 0.131, 0.609], [0.744, 0.148, 0.100], [0.000, 0.250, 0.750], [0.000, 0.750, 0.250]]
}